#1
Entry from Alexandria via LeMat-Bulk: Pm2NCl2 after structural relaxation (PBE).

Summary:
DOS at the Fermi energy	7.5	states/eV per cell

Unit cell a=19.8962 b=3.9768 c=7.4621 alpha=90.00 beta=97.51 gamma=90.00
With the nearest neighbours (Å) after each atom.
Space group C2/m (No. 12)
Unique sites:
Pm 0.1661 0.0000 0.3564  1 N 2.19
Pm 0.1777 0.5000 0.9292  3 N 2.30-2.40
N 0.2086 0.0000 0.0999  4 Pm 2.19-2.40
Cl 0.0766 0.5000 0.2044  3 Pm 2.81-3.06
Cl 0.1036 0.0000 0.6893  3 Pm 2.92-2.94

=====

#2
Entry from Alexandria via LeMat-Bulk: Pm2NCl2 after structural relaxation (PBE).

Summary:
DOS at the Fermi energy	4.4	states/eV per cell

Unit cell a=3.7387 b=3.7387 c=30.1810 alpha=90.00 beta=90.00 gamma=120.00
With the nearest neighbours (Å) after each atom.
Space group R-3m (No. 166, hexagonal axes)
Unique sites:
Pm 0.0000 0.0000 0.1215  3 N 2.55, 3 Cl 2.82
N 0.0000 0.0000 0.5000  6 Pm 2.55
Cl 0.0000 0.0000 0.2722  3 Pm 2.82

=====

On energetic grounds, #2 is preferred over the next structure by 12.2 kJ/mol of atoms.

=====

#1
Entry from Alexandria via LeMat-Bulk: Pm4N2Cl3 after structural relaxation (PBE).

Summary:
DOS at the Fermi energy	6.1	states/eV per cell

Unit cell a=14.1673 b=3.4975 c=8.3236 alpha=90.00 beta=101.77 gamma=90.00
With the nearest neighbours (Å) after each atom.
Space group C2/m (No. 12)
Unique sites:
Pm 0.0937 0.0000 0.2101  2 N 2.36
Pm 0.1797 0.5000 0.6039  3 N 2.43-2.52
N 0.2012 0.5000 0.3111  5 Pm 2.36-2.52
Cl 0.0000 0.0000 0.5000  6 Pm 2.98-3.06
Cl 0.0884 0.5000 0.9006  5 Pm 3.01-3.10, 1 Cl 3.27

=====

#2
Entry from Alexandria via LeMat-Bulk: Pm4N2Cl3 after structural relaxation (PBE).

Summary:
DOS at the Fermi energy	5.4	states/eV per cell

Unit cell a=6.4183 b=3.7056 c=17.0413 alpha=90.00 beta=90.06 gamma=90.00
With the nearest neighbours (Å) after each atom.
Space group C2/m (No. 12)
Unique sites:
Pm 0.0007 0.0000 0.2822  3 N 2.54, 3 Cl 2.82
Pm 0.1663 0.5000 0.8736  3 N 2.50
N 0.1672 0.5000 0.2020  6 Pm 2.50-2.54
Cl 0.0000 0.0000 0.0000  6 Pm 3.04
Cl 0.1657 0.5000 0.6099  3 Pm 2.82

=====

On energetic grounds, #2 is preferred over the next structure by 13.4 kJ/mol of atoms.

=====

#1
Entry from Alexandria via LeMat-Bulk: Pr4N2Cl3 after structural relaxation (PBE).

Summary:
DOS at the Fermi energy	6.5	states/eV per cell

Unit cell a=14.4837 b=3.5484 c=8.4540 alpha=90.00 beta=101.56 gamma=90.00
With the nearest neighbours (Å) after each atom.
Space group C2/m (No. 12)
Unique sites:
Pr 0.0936 0.0000 0.2096  2 N 2.40
Pr 0.1796 0.5000 0.6056  3 N 2.48-2.57
N 0.2009 0.5000 0.3115  5 Pr 2.40-2.57
Cl 0.0000 0.0000 0.5000  6 Pr 3.03-3.13
Cl 0.0880 0.5000 0.9018  5 Pr 3.06-3.16, 1 Cl 3.31

=====

#2
Entry from Alexandria via LeMat-Bulk: Pr4N2Cl3 after structural relaxation (PBE).

Summary:
DOS at the Fermi energy	8.1	states/eV per cell

Unit cell a=13.6863 b=3.6003 c=8.9439 alpha=90.00 beta=101.32 gamma=90.00
With the nearest neighbours (Å) after each atom.
Space group C2/m (No. 12)
Unique sites:
Pr 0.1490 0.0000 0.3923  3 N 2.43-2.52
Pr 0.1549 0.5000 0.7811  2 N 2.46
N 0.2328 0.0000 0.6588  5 Pr 2.43-2.52
Cl 0.0000 0.5000 0.5000  6 Pr 2.95-3.02
Cl 0.1371 0.0000 0.0350  4 Pr 2.95-3.17

=====

On energetic grounds, #1 is preferred over the next structure by 2.2 kJ/mol of atoms.

=====

#1
Entry from Alexandria via LeMat-Bulk: Pt2NCl after structural relaxation (PBE).

Summary:
DOS at the Fermi energy	3.8	states/eV per cell

Unit cell a=5.8190 b=5.8190 c=8.3181 alpha=90.00 beta=90.00 gamma=90.00
With the nearest neighbours (Å) after each atom.
Space group I-42d (No. 122)
Unique sites:
Pt 0.1398 0.2500 0.1250  2 N 1.96
N 0.0000 0.0000 0.0000  4 Pt 1.96
Cl 0.0000 0.0000 0.5000  4 Pt 2.75

=====

#2
Entry from Alexandria via LeMat-Bulk: Pt2NCl after structural relaxation (PBE).

Summary:
DOS at the Fermi energy	3.4	states/eV per cell

Unit cell a=6.0542 b=6.0542 c=6.0542 alpha=90.00 beta=90.00 gamma=90.00
With the nearest neighbours (Å) after each atom.
Space group Fm-3m (No. 225)
Unique sites:
Pt 0.2500 0.2500 0.2500  4 Cl 2.62, 4 N 2.62
N 0.0000 0.0000 0.0000  8 Pt 2.62
Cl 0.0000 0.0000 0.5000  8 Pt 2.62

=====

On energetic grounds, #1 is preferred over the next structure by 91.5 kJ/mol of atoms.

=====

#1
Entry from Alexandria via LeMat-Bulk: PtN2Cl2 after structural relaxation (PBE).

Summary:
DOS at the Fermi energy	10.6	states/eV per cell

Unit cell a=5.2202 b=10.0635 c=8.3843 alpha=90.00 beta=90.00 gamma=90.00
With the nearest neighbours (Å) after each atom.
Space group Imm2 (No. 44)
Unique sites:
Pt 0.0000 0.0000 0.0000  4 N 1.87-2.01
Pt 0.0000 0.5000 0.4924  4 Cl 2.30-2.32
N 0.0000 0.0000 0.2228  1 Pt 1.87
N 0.0000 0.0000 0.7601  1 Pt 2.01
N 0.0000 0.1989 0.9763  1 Pt 2.01
Cl 0.0000 0.2695 0.4884  1 Pt 2.32
Cl 0.0000 0.5000 0.2174  1 Pt 2.31
Cl 0.0000 0.5000 0.7671  1 Pt 2.30

=====

#2
Entry from Alexandria via LeMat-Bulk: PtN2Cl2 after structural relaxation (PBE).

Summary:
DOS at the Fermi energy	7.8	states/eV per cell

Unit cell a=6.8739 b=6.8739 c=4.9046 alpha=90.00 beta=90.00 gamma=90.00
With the nearest neighbours (Å) after each atom.
Space group I4/mmm (No. 139)
Unique sites:
Pt 0.0000 0.0000 0.0000  2 N 1.89
N 0.0000 0.0000 0.3846  1 N 1.13
Cl 0.0000 0.5000 0.2500  2 Cl 2.45

=====

On energetic grounds, #2 is preferred over the next structure by 106.5 kJ/mol of atoms.

=====

#1
Entry from Alexandria via LeMat-Bulk: PtN2Cl4 after structural relaxation (PBE).

Summary:
DOS at the Fermi energy	8.4	states/eV per cell

Unit cell a=4.9173 b=4.9173 c=12.7848 alpha=90.00 beta=90.00 gamma=90.00
With the nearest neighbours (Å) after each atom.
Space group P4_2/mnm (No. 136)
Unique sites:
Pt 0.0000 0.0000 0.0000  2 N 2.00
N 0.2124 0.2124 0.5000  1 Pt 2.00
Cl 0.2402 0.2402 0.1277  1 Pt 2.34

=====

#2
Entry from Alexandria via LeMat-Bulk: PtN2Cl4 after structural relaxation (PBE).

Unit cell a=7.1469 b=9.8092 c=13.8516 alpha=90.00 beta=95.66 gamma=90.00
With the nearest neighbours (Å) after each atom.
Space group C2/c (No. 15)
Unique sites:
Pt 0.0000 0.2349 0.2500  2 N 1.96
N 0.1866 0.3651 0.3076  1 Cl 1.66
Cl 0.1360 0.2195 0.6339  1 N 1.66
Cl 0.1395 0.1902 0.1108  1 Pt 2.30

=====

On energetic grounds, #2 is preferred over the next structure by 44.1 kJ/mol of atoms.

=====

#1
Entry from Alexandria via LeMat-Bulk: PtS2NCl after structural relaxation (PBE).

Summary:
DOS at the Fermi energy	4.4	states/eV per cell

Unit cell a=5.0401 b=5.0401 c=3.6791 alpha=90.00 beta=90.00 gamma=90.00
With the nearest neighbours (Å) after each atom.
Space group P4/mmm (No. 123)
Unique sites:
Pt 0.0000 0.0000 0.0000  2 N 1.84
S 0.0000 0.5000 0.0000  2 Pt 2.52
N 0.0000 0.0000 0.5000  2 Pt 1.84
Cl 0.5000 0.5000 0.5000  8 S 3.12

=====

#2
Entry from Alexandria via LeMat-Bulk: PtS2NCl after structural relaxation (PBE).

Summary:
DOS at the Fermi energy	6.1	states/eV per cell

Unit cell a=4.2695 b=4.2695 c=4.0362 alpha=90.00 beta=90.00 gamma=90.00
With the nearest neighbours (Å) after each atom.
Space group P4/mmm (No. 123)
Unique sites:
Pt 0.0000 0.0000 0.0000  8 S 2.94, 4 Cl 3.02
S 0.0000 0.5000 0.5000  2 N 2.13
N 0.5000 0.5000 0.5000  2 Cl 2.02, 4 S 2.13
Cl 0.5000 0.5000 0.0000  2 N 2.02

=====

#3
Entry from Alexandria via LeMat-Bulk: PtS2NCl after structural relaxation (PBE).

Summary:
DOS at the Fermi energy	7.5	states/eV per cell

Unit cell a=4.6487 b=4.6487 c=4.8217 alpha=90.00 beta=90.00 gamma=90.00
With the nearest neighbours (Å) after each atom.
Space group P4/mmm (No. 123)
Unique sites:
Pt 0.0000 0.0000 0.0000  4 S 2.32, 2 Cl 2.41
S 0.0000 0.5000 0.0000  2 Pt 2.32
N 0.5000 0.5000 0.5000  4 Cl 3.29, 8 S 3.35
Cl 0.0000 0.0000 0.5000  2 Pt 2.41

=====

On energetic grounds, #1 is preferred over the next structure by 41.5 kJ/mol of atoms.

=====

#1
Entry from Alexandria via LeMat-Bulk: Te2PtNCl after structural relaxation (PBE).

Summary:
DOS at the Fermi energy	4.6	states/eV per cell

Unit cell a=5.7161 b=5.7161 c=3.6476 alpha=90.00 beta=90.00 gamma=90.00
With the nearest neighbours (Å) after each atom.
Space group P4/mmm (No. 123)
Unique sites:
Te 0.0000 0.5000 0.0000  2 Pt 2.86
Pt 0.0000 0.0000 0.0000  2 N 1.82
N 0.0000 0.0000 0.5000  2 Pt 1.82
Cl 0.5000 0.5000 0.5000  8 Te 3.39, 2 Cl 3.65

=====

#2
Entry from Alexandria via LeMat-Bulk: Te2PtNCl after structural relaxation (PBE).

Summary:
DOS at the Fermi energy	2.7	states/eV per cell

Unit cell a=5.4727 b=5.4727 c=3.3749 alpha=90.00 beta=90.00 gamma=90.00
With the nearest neighbours (Å) after each atom.
Space group P4/mmm (No. 123)
Unique sites:
Te 0.0000 0.5000 0.0000  2 Cl 2.74
Pt 0.0000 0.0000 0.5000  8 Te 3.21, 2 Pt 3.37
N 0.5000 0.5000 0.5000  2 Cl 1.69
Cl 0.5000 0.5000 0.0000  2 N 1.69

=====

On energetic grounds, #1 is preferred over the next structure by 89.8 kJ/mol of atoms.

=====

#1
Entry from Alexandria via LeMat-Bulk: RbN2Cl2 after structural relaxation (PBE).

Summary:
DOS at the Fermi energy	11.4	states/eV per cell

Unit cell a=7.1969 b=7.1969 c=10.2270 alpha=90.00 beta=90.00 gamma=90.00
With the nearest neighbours (Å) after each atom.
Space group P4/mnc (No. 128)
Unique sites:
Rb 0.0000 0.0000 0.2505  4 N 3.23, 8 Cl 3.60-3.61
N 0.0546 0.4454 0.2500  1 N 1.11
Cl 0.2393 0.7415 0.0000  6 N 3.30-3.58, 4 Cl 3.59-3.62, 4 Rb 3.60-3.61

=====

#2
Entry from Alexandria via LeMat-Bulk: RbN2Cl2 after structural relaxation (PBE).

Summary:
DOS at the Fermi energy	2.2	states/eV per cell

Unit cell a=16.1267 b=4.4878 c=8.9723 alpha=90.00 beta=111.67 gamma=90.00
With the nearest neighbours (Å) after each atom.
Space group C2/c (No. 15)
Unique sites:
Rb 0.0000 0.1377 0.2500  6 N 2.97-3.12
N 0.0697 0.3527 0.9863  1 Cl 1.66
Cl 0.1613 0.5004 0.1199  1 N 1.66

=====

On energetic grounds, #1 is preferred over the next structure by 121.8 kJ/mol of atoms.

=====

#1
Entry from Alexandria via LeMat-Bulk: RbSeN2Cl after structural relaxation (PBE).

Summary:
DOS at the Fermi energy	8.6	states/eV per cell

Unit cell a=5.4785 b=5.4785 c=6.6913 alpha=90.00 beta=90.00 gamma=90.00
With the nearest neighbours (Å) after each atom.
Space group P4/mmm (No. 123)
Unique sites:
Rb 0.0000 0.0000 0.0000  4 N 2.74
Se 0.0000 0.0000 0.5000  2 Rb 3.35
N 0.0000 0.5000 0.0000  2 Rb 2.74
Cl 0.5000 0.5000 0.5000  4 Se 3.87, 8 N 4.32

=====

#2
Entry from Alexandria via LeMat-Bulk: RbSeN2Cl after structural relaxation (PBE).

Summary:
DOS at the Fermi energy	1.9	states/eV per cell

Unit cell a=4.8290 b=4.8290 c=5.0680 alpha=90.00 beta=90.00 gamma=90.00
With the nearest neighbours (Å) after each atom.
Space group P4/mmm (No. 123)
Unique sites:
Rb 0.0000 0.0000 0.0000  4 Se 3.41, 8 N 3.50
Se 0.5000 0.5000 0.0000  2 Cl 2.53
N 0.0000 0.5000 0.5000  2 Cl 2.41
Cl 0.5000 0.5000 0.5000  4 N 2.41, 2 Se 2.53

=====

On energetic grounds, #2 is preferred over the next structure by 40.6 kJ/mol of atoms.

=====

#1
Entry from Alexandria via LeMat-Bulk: ReN2Cl after structural relaxation (PBE).

Summary:
DOS at the Fermi energy	2.2	states/eV per cell

Unit cell a=2.9876 b=2.9876 c=18.9188 alpha=90.00 beta=90.00 gamma=120.00
With the nearest neighbours (Å) after each atom.
Space group R-3m (No. 166, hexagonal axes)
Unique sites:
Re 0.0000 0.0000 0.0000  6 N 2.08
N 0.0000 0.0000 0.3951  1 Cl 1.98, 3 Re 2.08
Cl 0.0000 0.0000 0.5000  2 N 1.98

=====

#2
Entry from Alexandria via LeMat-Bulk: ReN2Cl after structural relaxation (PBE).

Summary:
DOS at the Fermi energy	4.9	states/eV per cell

Unit cell a=8.4013 b=8.4013 c=8.4013 alpha=90.00 beta=90.00 gamma=90.00
With the nearest neighbours (Å) after each atom.
Space group Fd-3m (No. 227, origin choice 2)
Unique sites:
Re 0.1250 0.1250 0.1250  4 N 1.82
N 0.0000 0.0000 0.0000  2 Re 1.82
Cl 0.1250 0.1250 0.6250  12 N 3.48, 4 Re 3.64, 4 Cl 3.64

=====

On energetic grounds, #2 is preferred over the next structure by 35.4 kJ/mol of atoms.